! PBE TaMn2Re, optimized geometry; values from VASP
! raw total energy: -10.66 eV/atom
! DFT formation energy: 0.0049 eV per atom
! offset from the most stable computed form: 0.111 eV/f.u.
&SYSTEM
  ibrav = 0, nat = 4, ntyp = 3
/
ATOMIC_SPECIES
Ta 180.95 Ta.upf
Re 186.21 Re.upf
Mn 54.94 Mn.upf
CELL_PARAMETERS angstrom
5.029 0.004 -0.007
4.086 2.931 -0.007
1.822 0.586 3.825
ATOMIC_POSITIONS crystal
Ta 0.249 0.249 0.251
Re 0.492 0.492 0.508
Mn 0.753 0.753 0.747
Mn 0.007 0.007 0.993

! PBE HPd2Pb, optimized geometry; values from VASP
! raw total energy: -4.54 eV/atom
! offset from the most stable computed form: 0.000 eV/f.u.
&SYSTEM
  ibrav = 0, nat = 8, ntyp = 3
/
ATOMIC_SPECIES
Pb 207.20 Pb.upf
Pd 106.42 Pd.upf
H 1.01 H.upf
CELL_PARAMETERS angstrom
6.231 0.000 0.000
0.000 6.231 0.000
3.116 3.116 3.167
ATOMIC_POSITIONS crystal
Pb 0.000 0.000 0.000
Pb 0.750 0.250 0.500
Pd 0.375 0.517 0.750
Pd 0.483 0.125 0.250
Pd 0.875 0.733 0.750
Pd 0.267 0.625 0.250
H 0.500 0.500 0.000
H 0.250 0.750 0.500

! PBE K3Mg2In9, optimized geometry; values from VASP
! raw total energy: -2.34 eV/atom
! DFT formation energy: -0.1208 eV per atom
&SYSTEM
  ibrav = 0, nat = 14, ntyp = 3
/
ATOMIC_SPECIES
In 114.82 In.upf
K 39.10 K.upf
Mg 24.30 Mg.upf
CELL_PARAMETERS angstrom
-3.553 2.979 2.109
-5.751 -5.888 4.778
2.080 0.264 9.283
ATOMIC_POSITIONS crystal
In 0.341 0.019 0.300
In 0.341 0.300 0.019
In 0.139 0.146 0.577
In 0.861 0.423 0.854
In 0.659 0.700 0.981
In 0.000 0.500 0.500
In 0.861 0.854 0.423
In 0.659 0.981 0.700
In 0.139 0.577 0.146
K 0.000 0.000 0.000
K 0.292 0.708 0.708
K 0.708 0.292 0.292
Mg 0.500 0.325 0.675
Mg 0.500 0.675 0.325

! PBE Ce4IrPtBr2, optimized geometry; values from VASP
! raw total energy: -6.34 eV/atom
! E_form (uncorrected): -1.10 eV/atom
&SYSTEM
  ibrav = 0, nat = 8, ntyp = 4
/
ATOMIC_SPECIES
Ce 140.12 Ce.upf
Br 79.90 Br.upf
Ir 192.22 Ir.upf
Pt 195.08 Pt.upf
CELL_PARAMETERS angstrom
-3.943 1.245 0.360
-1.627 -6.138 3.402
2.182 5.309 5.539
ATOMIC_POSITIONS crystal
Ce 0.500 0.773 0.800
Ce 0.000 0.741 0.201
Ce 0.500 0.227 0.200
Ce 0.000 0.259 0.799
Br 0.000 0.500 0.500
Br 0.500 0.000 0.500
Ir 0.000 0.000 0.000
Pt 0.500 0.500 0.000

! PBE ReRu2F, optimized geometry; values from VASP
! raw total energy: -7.81 eV/atom
! offset from the most stable computed form: 0.535 eV/f.u.
! E_form (uncorrected): 0.41 eV/atom
&SYSTEM
  ibrav = 0, nat = 8, ntyp = 3
/
ATOMIC_SPECIES
F 19.00 F.upf
Ru 101.07 Ru.upf
Re 186.21 Re.upf
CELL_PARAMETERS angstrom
-2.309 -4.760 3.407
4.861 -3.600 -1.734
2.810 -3.241 3.188
ATOMIC_POSITIONS crystal
F 0.250 0.750 0.500
F 0.500 0.500 0.000
Ru 0.609 0.125 0.250
Ru 0.375 0.391 0.750
Ru 0.141 0.625 0.250
Ru 0.875 0.859 0.750
Re 0.750 0.250 0.500
Re 0.000 0.000 0.000

! PBE CaAc2CeP4, optimized geometry; values from VASP
! raw total energy: -6.07 eV/atom
! DFT formation energy: -1.3425 eV per atom
&SYSTEM
  ibrav = 0, nat = 8, ntyp = 4
/
ATOMIC_SPECIES
Ac 227.00 Ac.upf
Ce 140.12 Ce.upf
P 30.97 P.upf
Ca 40.08 Ca.upf
CELL_PARAMETERS angstrom
-2.203 -1.222 3.504
0.519 -7.067 -2.137
5.806 1.705 4.244
ATOMIC_POSITIONS crystal
Ac 0.000 0.500 0.500
Ac 0.500 0.000 0.500
Ce 0.000 0.000 0.000
P 0.000 0.244 0.767
P 0.500 0.236 0.229
P 0.000 0.756 0.233
P 0.500 0.764 0.771
Ca 0.500 0.500 0.000

! PBE Ba2TeIrN, optimized geometry; values from VASP
! raw total energy: -5.55 eV/atom
! offset from the most stable computed form: 0.973 eV/f.u.
! E_form (uncorrected): -0.71 eV/atom
&SYSTEM
  ibrav = 0, nat = 5, ntyp = 4
/
ATOMIC_SPECIES
Ir 192.22 Ir.upf
Ba 137.33 Ba.upf
Te 127.60 Te.upf
N 14.01 N.upf
CELL_PARAMETERS angstrom
6.226 0.000 0.000
0.000 6.226 0.000
0.000 0.000 3.851
ATOMIC_POSITIONS crystal
Ir 0.000 0.000 0.000
Ba 0.000 0.500 0.000
Ba 0.500 0.000 0.000
Te 0.500 0.500 0.500
N 0.000 0.000 0.500

! PBE LiThTa4N8, optimized geometry; values from VASP
! raw total energy: -9.83 eV/atom
! E_form (uncorrected): -1.02 eV/atom
&SYSTEM
  ibrav = 0, nat = 14, ntyp = 4
/
ATOMIC_SPECIES
N 14.01 N.upf
Ta 180.95 Ta.upf
Li 6.94 Li.upf
Th 232.04 Th.upf
CELL_PARAMETERS angstrom
6.399 0.000 0.000
3.199 5.541 0.000
3.199 1.847 5.159
ATOMIC_POSITIONS crystal
N 0.234 0.812 0.719
N 0.812 0.234 0.719
N 0.247 0.733 0.286
N 0.733 0.247 0.286
N 0.234 0.234 0.719
N 0.239 0.239 0.283
N 0.756 0.756 0.732
N 0.733 0.733 0.286
Ta 0.487 0.005 0.503
Ta 0.005 0.005 0.503
Ta 0.005 0.487 0.503
Ta 0.622 0.622 0.133
Li 0.002 0.002 0.994
Th 0.389 0.389 0.832

! PBE Li2ZrCl, optimized geometry; values from VASP
! raw total energy: -4.13 eV/atom
! offset from the most stable computed form: 0.081 eV/f.u.
! E_form (uncorrected): -0.57 eV/atom
&SYSTEM
  ibrav = 0, nat = 4, ntyp = 3
/
ATOMIC_SPECIES
Li 6.94 Li.upf
Zr 91.22 Zr.upf
Cl 35.45 Cl.upf
CELL_PARAMETERS angstrom
3.126 -0.014 0.000
-1.347 2.821 0.000
0.000 0.000 8.927
ATOMIC_POSITIONS crystal
Li 0.000 0.000 0.566
Li 0.000 0.000 0.934
Zr 0.500 0.500 0.250
Cl 0.500 0.500 0.750

! PBE Sr3NdPt8, optimized geometry; values from VASP
! raw total energy: -5.76 eV/atom
! DFT formation energy: -0.9129 eV per atom
&SYSTEM
  ibrav = 0, nat = 12, ntyp = 3
/
ATOMIC_SPECIES
Pt 195.08 Pt.upf
Sr 87.62 Sr.upf
Nd 144.24 Nd.upf
CELL_PARAMETERS angstrom
5.328 0.000 1.608
2.421 4.746 1.608
0.006 0.004 9.610
ATOMIC_POSITIONS crystal
Pt 0.437 0.437 0.192
Pt 0.441 0.938 0.683
Pt 0.437 0.933 0.192
Pt 0.187 0.187 0.438
Pt 0.933 0.437 0.192
Pt 0.938 0.441 0.683
Pt 0.938 0.938 0.683
Pt 0.688 0.688 0.937
Sr 0.498 0.498 0.505
Sr 0.374 0.374 0.877
Sr 0.002 0.002 0.995
Nd 0.876 0.876 0.373

! PBE Ac2Pu2Se7, optimized geometry; values from VASP
! raw total energy: -7.00 eV/atom
! E_form (uncorrected): -1.43 eV/atom
&SYSTEM
  ibrav = 0, nat = 11, ntyp = 3
/
ATOMIC_SPECIES
Se 78.96 Se.upf
Pu 244.00 Pu.upf
Ac 227.00 Ac.upf
CELL_PARAMETERS angstrom
7.030 -0.004 -0.199
0.002 7.040 0.004
-0.637 -0.002 7.003
ATOMIC_POSITIONS crystal
Se 0.000 0.751 0.500
Se 0.500 0.249 0.000
Se 0.500 0.769 0.500
Se 0.000 0.000 0.000
Se 0.500 0.231 0.500
Se 0.000 0.249 0.500
Se 0.500 0.751 0.000
Pu 0.732 0.000 0.268
Pu 0.268 0.000 0.732
Ac 0.255 0.500 0.255
Ac 0.745 0.500 0.745

! PBE Pr2MgPd, optimized geometry; values from VASP
! raw total energy: -4.48 eV/atom
! DFT formation energy: -0.3945 eV per atom
! offset from the most stable computed form: 0.000 eV/f.u.
&SYSTEM
  ibrav = 0, nat = 4, ntyp = 3
/
ATOMIC_SPECIES
Pd 106.42 Pd.upf
Pr 140.91 Pr.upf
Mg 24.30 Mg.upf
CELL_PARAMETERS angstrom
3.771 0.000 0.000
0.000 3.771 0.000
0.000 0.000 7.627
ATOMIC_POSITIONS crystal
Pd 0.500 0.500 0.000
Pr 0.000 0.000 0.776
Pr 0.000 0.000 0.224
Mg 0.500 0.500 0.500

! PBE Tc2Os, optimized geometry; values from VASP
! raw total energy: -10.21 eV/atom
! DFT formation energy: 0.4405 eV per atom
! offset from the most stable computed form: 1.514 eV/f.u.
&SYSTEM
  ibrav = 0, nat = 12, ntyp = 2
/
ATOMIC_SPECIES
Os 190.23 Os.upf
Tc 98.00 Tc.upf
CELL_PARAMETERS angstrom
2.709 0.000 0.000
0.000 4.148 0.000
0.000 0.000 16.958
ATOMIC_POSITIONS crystal
Os 0.000 0.750 0.390
Os 0.000 0.250 0.610
Os 0.500 0.750 0.110
Os 0.500 0.250 0.890
Tc 0.500 0.750 0.537
Tc 0.500 0.750 0.686
Tc 0.500 0.250 0.314
Tc 0.000 0.750 0.963
Tc 0.500 0.250 0.463
Tc 0.000 0.250 0.186
Tc 0.000 0.250 0.037
Tc 0.000 0.750 0.814